Material: ErZn5Rh6
Method: DFT, PBE
State: relaxed

Values from the calculation:
Total magnetization   0.00 μB/f.u.
DFT formation energy   -11.37 kcal/mol of atoms
Uncorrected energy   -61.0 eV/cell
SG   P2/m

Lattice parameters (Å, degrees): 4.361 6.192 6.876 90.00 108.42 90.00
Fractional positions:
Er  0.000  0.000  0.000
Zn  0.000  0.500  0.000
Zn  0.334  0.000  0.668
Zn  0.335  0.500  0.670
Zn  0.665  0.500  0.330
Zn  0.666  0.000  0.332
Rh  0.173  0.258  0.346
Rh  0.173  0.742  0.346
Rh  0.500  0.267  0.000
Rh  0.500  0.733  0.000
Rh  0.827  0.258  0.654
Rh  0.827  0.742  0.654

Material: Ac4SnAsS2
Method: DFT, PBE
State: relaxed

Values from the calculation:
Formation energy from raw total energies   -1529 meV per atom
Total magnetization   0.00 μB/f.u.
Uncorrected energy   -45.6 eV/cell
SG   P2/m

Lattice parameters (Å, degrees): 7.738 4.549 7.888 90.00 109.93 90.00
Fractional positions:
Ac  0.241  0.000  0.241
Ac  0.246  0.500  0.754
Ac  0.754  0.500  0.246
Ac  0.759  0.000  0.759
Sn  0.500  0.500  0.500
As  0.500  0.000  0.000
S  0.000  0.000  0.500
S  0.000  0.500  0.000

Material: Ni2MoOs
Method: DFT, PBE
State: relaxed

Values from the calculation:
Total magnetization   0.00 μB/f.u.
DFT formation energy   2.93 kcal/mol of atoms
Uncorrected energy   -33.1 eV/cell
SG   C2/m

Lattice parameters (Å, degrees): 4.568 4.568 4.616 99.83 99.83 33.92
Fractional positions:
Ni  0.246  0.246  0.246
Ni  0.754  0.754  0.754
Mo  0.000  0.000  0.500
Os  0.500  0.500  0.000